The following is a DFT calculation (GGA+U) of VRhO after structural relaxation.

Cell: 11.5476 11.5476 11.5476 Å, 14.74 14.74 14.74°
Sites, in units of the cell vectors:
1 V 0.0728 0.0728 0.0728
2 V 0.9272 0.9272 0.9272
3 Rh 0.1977 0.1977 0.1977
4 Rh 0.8023 0.8023 0.8023
5 O 0.3813 0.3813 0.3813
6 O 0.6187 0.6187 0.6187

Calculated values
Space-group type = No. 166
Density of states at the Fermi level = 0.682 states/eV per atom
Crystal system = trigonal
VASP energy = -7.3943 eV/atom